No. 1
KInHg2Ir | the Alexandria database | PBE | relaxed; D(E_F) = 1.599 states/eV/f.u.; SG = No. 123; total magnetic moment = 0.0 μB/f.u.; DFT total energy = -13.94 eV/cell
1.0
5.3853 0.0000 0.0000
0.0000 5.3853 0.0000
0.0000 0.0000 5.1392
K In Hg Ir
1 1 2 1
direct
0.0000 0.0000 0.0000
0.5000 0.5000 0.0000
0.0000 0.5000 0.5000
0.5000 0.0000 0.5000
0.5000 0.5000 0.5000


No. 2
Nd2YHg6 | the Alexandria database | PBE | relaxed; D(E_F) = 6.719 states/eV/f.u.; SG = No. 191; total magnetic moment = 0.4 μB/f.u.; DFT total energy = -21.59 eV/cell
1.0
8.6903 0.0000 0.0000
-4.3451 7.5260 0.0000
0.0000 0.0000 3.4961
Nd Y Hg
2 1 6
direct
0.3333 0.6667 0.0000
0.6667 0.3333 0.0000
0.0000 0.0000 0.0000
0.0000 0.3311 0.5000
0.0000 0.6689 0.5000
0.3311 0.0000 0.5000
0.3311 0.3311 0.5000
0.6689 0.0000 0.5000
0.6689 0.6689 0.5000


No. 3
MgVB3 | the Alexandria database | PBE | relaxed; D(E_F) = 4.183 states/eV/f.u.; SG = No. 221; total magnetic moment = 2.2 μB/f.u.; DFT total energy = -19.56 eV/cell
1.0
4.0754 0.0000 0.0000
0.0000 4.0754 0.0000
0.0000 0.0000 4.0754
Mg V B
1 1 3
direct
0.0000 0.0000 0.0000
0.5000 0.5000 0.5000
0.0000 0.0000 0.5000
0.0000 0.5000 0.0000
0.5000 0.0000 0.0000


No. 4
K3Os2PbO9 | the Alexandria database | PBE | relaxed; E_form (uncorrected) = -18.70 eV per formula unit; D(E_F) = 8.394 states/eV/f.u.; SG = No. 164; total magnetic moment = 0.0 μB/f.u.; DFT total energy = -92.78 eV/cell
1.0
5.7984 0.0000 0.0000
-2.8992 5.0216 0.0000
0.0000 0.0000 7.6390
K Os Pb O
3 2 1 9
direct
0.0000 0.0000 0.0000
0.3333 0.6667 0.6866
0.6667 0.3333 0.3134
0.3333 0.6667 0.1461
0.6667 0.3333 0.8539
0.0000 0.0000 0.5000
0.0000 0.5000 0.0000
0.1811 0.3623 0.2840
0.1811 0.8189 0.2840
0.3623 0.1811 0.7160
0.5000 0.0000 0.0000
0.5000 0.5000 0.0000
0.6377 0.8189 0.2840
0.8189 0.1811 0.7160
0.8189 0.6377 0.7160


No. 5
SiPdAu3 | the Alexandria database | PBE | relaxed; E_form (uncorrected) = 1.80 eV per formula unit; D(E_F) = 3.473 states/eV/f.u.; SG = No. 221; total magnetic moment = 0.0 μB/f.u.; DFT total energy = -18.65 eV/cell
1.0
4.6901 0.0000 0.0000
0.0000 4.6901 0.0000
0.0000 0.0000 4.6901
Si Pd Au
1 1 3
direct
0.0000 0.0000 0.0000
0.5000 0.5000 0.5000
0.0000 0.0000 0.5000
0.0000 0.5000 0.0000
0.5000 0.0000 0.0000


No. 6
Sm5Dy12Er | the Alexandria database | PBE | relaxed; D(E_F) = 27.290 states/eV/f.u.; SG = No. 12; total magnetic moment = 0.0 μB/f.u.; DFT total energy = -81.76 eV/cell
1.0
5.9022 -8.5458 0.0000
5.9022 8.5458 0.0000
-0.0006 0.0000 5.7125
Sm Dy Er
5 12 1
direct
0.0000 0.0000 0.0000
0.1378 0.8622 0.5000
0.3642 0.6358 0.0000
0.6358 0.3642 0.0000
0.8622 0.1378 0.5000
0.0271 0.6674 0.9999
0.1674 0.5253 0.5002
0.2019 0.2019 0.4990
0.3008 0.3008 0.9991
0.3326 0.9729 0.0001
0.4747 0.8326 0.4998
0.5253 0.1674 0.5002
0.6674 0.0271 0.9999
0.6992 0.6992 0.0009
0.7981 0.7981 0.5010
0.8326 0.4747 0.4998
0.9729 0.3326 0.0001
0.5000 0.5000 0.5000


No. 7
DyErAg2Se4 | the Alexandria database | PBE | relaxed; E_form (uncorrected) = -9.30 eV per formula unit; D(E_F) = 0.000 states/eV/f.u.; SG = No. 10; total magnetic moment = 0.0 μB/f.u.; DFT total energy = -38.10 eV/cell
1.0
6.9074 0.0000 0.0000
0.0000 4.1574 0.0000
-2.4713 0.0000 6.7589
Dy Er Ag Se
1 1 2 4
direct
0.0000 0.0000 0.0000
0.0000 0.5000 0.5000
0.5000 0.0000 0.5000
0.5000 0.5000 0.0000
0.2438 0.0000 0.7452
0.2444 0.5000 0.2489
0.7562 0.0000 0.2548
0.7556 0.5000 0.7511


No. 8
PaMn4Ru | the Alexandria database | PBE | relaxed; D(E_F) = 11.220 states/eV/f.u.; SG = No. 216; total magnetic moment = 6.5 μB/f.u.; DFT total energy = -54.82 eV/cell
1.0
0.0000 3.4836 3.4836
3.4836 0.0000 3.4836
3.4836 3.4836 0.0000
Pa Mn Ru
1 4 1
direct
0.0000 0.0000 0.0000
0.1308 0.6231 0.6231
0.6231 0.1308 0.6231
0.6231 0.6231 0.1308
0.6231 0.6231 0.6231
0.2500 0.2500 0.2500


No. 9
RbNaSiP2 | the Alexandria database | PBE | relaxed; E_form (uncorrected) = -1.35 eV per formula unit; D(E_F) = 0.535 states/eV/f.u.; SG = No. 12; total magnetic moment = 0.0 μB/f.u.; DFT total energy = -39.77 eV/cell
1.0
7.3666 -1.9253 0.0000
7.3666 1.9253 0.0000
-1.3128 0.0000 9.5078
Rb Na Si P
2 2 2 4
direct
0.1283 0.1283 0.1473
0.8717 0.8717 0.8527
0.2055 0.2055 0.5939
0.7945 0.7945 0.4061
0.4529 0.4529 0.3486
0.5471 0.5471 0.6514
0.0909 0.0909 0.7904
0.3972 0.3972 0.5611
0.6028 0.6028 0.4389
0.9091 0.9091 0.2096


No. 10
Hg3SbBr | the Alexandria database | PBE | relaxed; E_form (uncorrected) = -0.40 eV per formula unit; D(E_F) = 0.936 states/eV/f.u.; SG = No. 221; total magnetic moment = 0.0 μB/f.u.; DFT total energy = -7.10 eV/cell
1.0
5.6661 0.0000 0.0000
0.0000 5.6661 0.0000
0.0000 0.0000 5.6661
Hg Sb Br
3 1 1
direct
0.0000 0.0000 0.5000
0.0000 0.5000 0.0000
0.5000 0.0000 0.0000
0.0000 0.0000 0.0000
0.5000 0.5000 0.5000


No. 11
TbTiCo | the Alexandria database | PBE | relaxed; D(E_F) = 3.979 states/eV/f.u.; SG = No. 69; total magnetic moment = 0.0 μB/f.u.; DFT total energy = -39.59 eV/cell
1.0
0.0000 4.1461 4.8134
2.8141 0.0000 4.8134
2.8141 4.1461 0.0000
Tb Ti Co
2 2 2
direct
0.1829 0.8171 0.1829
0.8171 0.1829 0.8171
0.3110 0.3110 0.6890
0.6890 0.6890 0.3110
0.2500 0.2500 0.2500
0.7500 0.7500 0.7500


No. 12
Nd6SeBr8 | the Alexandria database | PBE | relaxed; E_form (uncorrected) = -23.16 eV per formula unit; D(E_F) = 2.645 states/eV/f.u.; SG = No. 148; total magnetic moment = 0.0 μB/f.u.; DFT total energy = -68.64 eV/cell
1.0
3.7037 2.1383 10.5514
-3.7037 2.1383 10.5514
0.0000 -4.2766 10.5514
Nd Se Br
6 1 8
direct
0.1267 0.4503 0.7738
0.2262 0.8733 0.5497
0.4503 0.7738 0.1267
0.5497 0.2262 0.8733
0.7738 0.1267 0.4503
0.8733 0.5497 0.2262
0.5000 0.5000 0.5000
0.0584 0.7293 0.3938
0.1667 0.1667 0.1667
0.2707 0.6062 0.9416
0.3938 0.0584 0.7293
0.6062 0.9416 0.2707
0.7293 0.3938 0.0584
0.8333 0.8333 0.8333
0.9416 0.2707 0.6062


- The highest total magnetic moment belongs to which entry?
  PaMn4Ru